First-principles (PBE-GGA) data for AgSn3S4 after structural relaxation, as listed in Alexandria via LeMat-Bulk.

Calculated values
VASP energy: -4.233 eV per atom
density of states at the Fermi level: 3.92 states/eV per cell
energy above the lowest structure with this stoichiometry: 0.03 eV/f.u.
uncorrected formation energy: -0.31 eV per atom

abc: 4.0083 6.9556 6.9556
angles: 70.40 90.01 90.01
With the nearest neighbours (Å) after each atom.
Sites, in units of the cell vectors:
S: 0.9999 0.2544 0.2457  2 Ag 2.81, 4 Sn 2.84-2.86
S: 0.4999 0.7476 0.2480  1 Ag 2.82, 5 Sn 2.83-2.87
S: 0.0000 0.7457 0.7544  2 Ag 2.81, 4 Sn 2.84-2.86
S: 0.4999 0.2521 0.7525  1 Ag 2.82, 5 Sn 2.83-2.87
Ag: 0.5001 0.5007 0.9994  6 S 2.81-2.82
Sn: 0.0000 0.0002 0.9999  6 S 2.83-2.84
Sn: 0.0000 0.5001 0.4999  6 S 2.83-2.84
Sn: 0.5000 0.0002 0.4998  6 S 2.86-2.87